No. 1
Crystalline CaPu2AlO8 at its relaxed geometry. Source: Alexandria, functional PBE.

The structure in extended XYZ format:
```
12
Lattice="4.7970 0.0000 0.0000 0.0000 6.8216 0.0000 -0.2168 0.0000 4.7929" Properties=species:S:1:pos:R:3 pbc="T T T"
Ca 0.0000 0.0000 0.0000
Pu 2.2901 1.7712 2.3965
Pu 2.2901 5.0504 2.3965
Al 0.0000 3.4108 0.0000
O 0.9030 1.9600 0.9380
O 0.9030 4.8616 0.9380
O 1.2423 3.4108 3.3921
O 1.4000 0.0000 3.2392
O 3.1803 0.0000 1.5537
O 3.3379 3.4108 1.4008
O 3.6773 1.9600 3.8549
O 3.6773 4.8616 3.8549
```

No. 2
Crystalline CaPuAl2O8 at its relaxed geometry. Source: Alexandria, functional PBE.

The structure in extended XYZ format:
```
12
Lattice="-3.4490 3.4490 3.1971 3.4490 -3.4490 3.1971 3.4490 3.4490 -3.1971" Properties=species:S:1:pos:R:3 pbc="T T T"
Ca 0.0000 0.0000 0.0000
Pu 0.0000 3.4490 1.5986
Al 3.4490 0.0000 1.5986
Al 0.0000 0.0000 3.1971
O 2.2444 0.0000 0.3211
O 4.6537 0.0000 0.3211
O 3.4490 2.0518 -1.1107
O 3.4490 -1.2046 2.8760
O 0.0000 1.3972 2.0865
O 3.4490 1.2046 2.8760
O 2.0518 3.4490 1.1107
O 1.3972 0.0000 4.3078
```

No. 3
Crystalline Ca2AlReO6 at its relaxed geometry. Source: Alexandria, functional PBE.

The structure in extended XYZ format:
```
10
Lattice="5.4444 0.0000 0.0000 0.0000 5.4444 0.0000 0.0000 0.0000 3.8365" Properties=species:S:1:pos:R:3 pbc="T T T"
Ca 0.0000 2.7222 0.0000
Ca 2.7222 0.0000 0.0000
Al 0.0000 0.0000 1.9182
Re 2.7222 2.7222 1.9182
O 0.0000 0.0000 0.0000
O 1.3407 1.3407 1.9182
O 1.3407 4.1038 1.9182
O 2.7222 2.7222 0.0000
O 4.1038 1.3407 1.9182
O 4.1038 4.1038 1.9182
```

No. 4
Crystalline CaAlReO6 at its relaxed geometry. Source: Alexandria, functional PBE.

The structure in extended XYZ format:
```
18
Lattice="5.0534 0.0000 0.0000 -2.5267 4.3764 0.0000 0.0000 0.0000 10.1466" Properties=species:S:1:pos:R:3 pbc="T T T"
Ca 0.0000 0.0000 0.0000
Ca 0.0000 0.0000 5.0733
Al 0.0000 2.9176 2.5366
Al 2.5267 1.4588 7.6099
Re 0.0000 2.9176 7.6099
Re 2.5267 1.4588 2.5366
O -0.9410 1.6482 6.5548
O -1.5698 2.7373 8.6651
O 0.9410 1.6482 8.6651
O -0.6288 4.3672 6.5548
O 1.8979 0.0092 1.4815
O 0.9569 1.6391 3.5918
O 1.5698 2.7373 6.5548
O 0.6288 4.3672 8.6651
O 3.1555 0.0092 3.5918
O 1.5857 2.7282 1.4815
O 4.0965 1.6391 1.4815
O 3.4677 2.7282 3.5918
```

No. 5
Crystalline CaAlRhO4 at its relaxed geometry. Source: Alexandria, functional PBE.

The structure in extended XYZ format:
```
14
Lattice="2.9693 -4.4418 0.0000 2.9693 4.4418 0.0000 0.0000 0.0000 6.8925" Properties=species:S:1:pos:R:3 pbc="T T T"
Ca 0.0000 0.0000 0.0000
Ca 0.0000 0.0000 3.4462
Al 2.9693 1.1148 5.1693
Al 2.9693 -1.1148 1.7231
Rh 2.9693 1.6518 1.7231
Rh 2.9693 -1.6518 5.1693
O 1.6202 0.0624 1.7231
O 2.9693 2.0541 3.6781
O 2.9693 2.0541 6.6606
O 1.6202 -0.0624 5.1693
O 4.3185 0.0624 1.7231
O 2.9693 -2.0541 0.2318
O 2.9693 -2.0541 3.2144
O 4.3185 -0.0624 5.1693
```

No. 6
Crystalline CaAl2RuO6 at its relaxed geometry. Source: Alexandria, functional PBE.

The structure in extended XYZ format:
```
20
Lattice="4.7474 -4.7696 0.0000 4.7474 4.7696 0.0000 -0.7710 0.0000 5.2428" Properties=species:S:1:pos:R:3 pbc="T T T"
Ca 4.1692 3.8832 3.9321
Ca 4.5547 -3.8832 1.3107
Al 2.4409 0.8363 3.6651
Al 2.8264 -0.8363 1.0437
Al 5.8974 0.8363 4.1991
Al 6.2829 -0.8363 1.5777
Ru 4.5547 2.1343 1.3107
Ru 4.1692 -2.1343 3.9321
O 0.6906 1.0740 3.4295
O 3.0477 2.0843 4.7634
O 1.0761 -1.0740 0.8081
O 3.1031 0.6881 1.9795
O 5.2906 2.0843 3.1007
O 2.7176 -0.6881 4.6009
O 6.0062 0.6881 0.6419
O 3.4332 -2.0843 2.1421
O 5.6207 -0.6881 3.2633
O 7.6478 1.0740 4.4347
O 5.6762 -2.0843 0.4793
O 8.0333 -1.0740 1.8133
```

No. 7
Crystalline Ca2AlRuO6 at its relaxed geometry. Source: Alexandria, functional PBE.

The structure in extended XYZ format:
```
10
Lattice="5.4322 0.0000 0.0000 0.0000 5.4322 0.0000 0.0000 0.0000 3.7919" Properties=species:S:1:pos:R:3 pbc="T T T"
Ca 0.0000 2.7161 0.0000
Ca 2.7161 0.0000 0.0000
Al 0.0000 0.0000 1.8960
Ru 2.7161 2.7161 1.8960
O 0.0000 0.0000 0.0000
O 1.3360 1.3360 1.8960
O 1.3360 4.0962 1.8960
O 2.7161 2.7161 0.0000
O 4.0962 1.3360 1.8960
O 4.0962 4.0962 1.8960
```

No. 8
Crystalline CaAlRuO6 at its relaxed geometry. Source: Alexandria, functional PBE.

The structure in extended XYZ format:
```
18
Lattice="4.7570 0.0000 0.0000 0.0000 4.7570 0.0000 0.0000 0.0000 9.2432" Properties=species:S:1:pos:R:3 pbc="T T T"
Ca 0.0000 0.0000 0.0000
Ca 2.3785 2.3785 4.6216
Al 0.0000 0.0000 3.1303
Al 2.3785 2.3785 7.7519
Ru 0.0000 0.0000 6.1815
Ru 2.3785 2.3785 1.5598
O 0.8198 0.8198 4.6591
O 1.0564 1.0564 1.7935
O 1.0541 1.0541 7.4652
O 1.3244 3.4326 2.8436
O 1.3222 3.4349 6.4151
O 1.5588 3.1983 0.0375
O 3.1983 1.5588 0.0375
O 3.4326 1.3244 2.8436
O 3.4349 1.3222 6.4151
O 3.7007 3.7007 1.7935
O 3.7029 3.7029 7.4652
O 3.9373 3.9373 4.6591
```

No. 9
Crystalline CaAlS2O8 at its relaxed geometry. Source: Alexandria, functional PBE.

The structure in extended XYZ format:
```
12
Lattice="5.1947 0.0000 0.0000 -2.5973 4.4987 0.0000 0.0000 0.0000 6.5277" Properties=species:S:1:pos:R:3 pbc="T T T"
Ca 0.0000 0.0000 0.0000
Al 0.0000 0.0000 3.2639
S 0.0000 2.9991 4.8503
S 2.5973 1.4996 1.6774
O -1.3319 3.7536 4.4838
O 0.0126 1.4684 4.4838
O 1.2780 0.7233 2.0439
O 0.0000 2.9991 6.3268
O 2.5973 1.4996 0.2009
O 1.3194 3.7754 4.4838
O 2.5847 3.0303 2.0439
O 3.9293 0.7451 2.0439
```

No. 10
27
Lattice="-4.7077 4.7077 4.7077 4.7077 -4.7077 4.7077 4.7077 4.7077 -4.7077" Properties=species:S:1:pos:R:3 comment="PBE Ca4Al6SO16, optimized geometry" relative_energy_ev_per_atom=0.037 pbc="T T T"
Ca 2.5161 2.5161 -2.5161
Ca 2.5161 -2.5161 2.5161
Ca 2.1915 2.1915 2.1915
Ca -2.5161 2.5161 2.5161
Al 4.7077 2.3538 0.0000
Al 4.7077 0.0000 2.3538
Al 2.3538 4.7077 0.0000
Al 2.3538 0.0000 4.7077
Al 0.0000 4.7077 2.3538
Al 0.0000 2.3538 4.7077
S 0.0000 0.0000 0.0000
O 3.8466 3.8466 -3.8466
O 4.3327 1.4706 -1.4706
O 4.3327 -1.4706 1.4706
O 3.8466 -3.8466 3.8466
O 0.8610 0.8610 0.8610
O 1.4706 4.3327 -1.4706
O 1.4706 -1.4706 4.3327
O 5.0826 1.4706 1.4706
O 3.2370 3.2370 0.3749
O 3.2370 0.3749 3.2370
O -1.4706 4.3327 1.4706
O -1.4706 1.4706 4.3327
O 0.3749 3.2370 3.2370
O 1.4706 5.0826 1.4706
O 1.4706 1.4706 5.0826
O -3.8466 3.8466 3.8466

Number 1: DOS at the Fermi energy 0.5676 states/eV per atom, calculated total energy -8.91 eV/atom. Number 2: DOS at the Fermi energy 0.0798 states/eV per atom, calculated total energy -7.58 eV/atom. Number 3: DOS at the Fermi energy 0.3421 states/eV per atom, calculated total energy -7.43 eV/atom. Number 4: DOS at the Fermi energy 0.0000 states/eV per atom, calculated total energy -7.65 eV/atom. Number 5: DOS at the Fermi energy 0.6017 states/eV per atom, calculated total energy -6.59 eV/atom. Number 6: DOS at the Fermi energy 0.1192 states/eV per atom, calculated total energy -7.14 eV/atom. Number 7: DOS at the Fermi energy 0.3372 states/eV per atom, calculated total energy -6.91 eV/atom. Number 8: DOS at the Fermi energy 0.3353 states/eV per atom, calculated total energy -6.69 eV/atom. Number 9: DOS at the Fermi energy 0.1313 states/eV per atom, calculated total energy -6.21 eV/atom. Number 10: DOS at the Fermi energy 0.0000 states/eV per atom, calculated total energy -7.06 eV/atom.